LiZnRh2, PBEsol geometry, DFT meta-GGA SCAN; total energy = -21.09 eV per atom; ΔH_f (0 K) = -223.5 meV/atom
1.0
1.352 0.781 8.379
-1.352 0.781 8.379
0.000 -1.561 8.379
Li Zn Rh
1 1 2
Direct
0.000 0.000 0.000
0.500 0.500 0.500
0.248 0.248 0.248
0.752 0.752 0.752